[1]
DFT (GGA-PBE) results for a geometry-optimized CoSnTeI2 structure.

It has space group P4/mmm (No. 123), with a = 5.274 Å, b = 5.274 Å, c = 5.154 Å, α = 90.00°, β = 90.00° and γ = 90.00°. The asymmetric unit holds Co at (0.000, 0.000, 0.000), Sn at (0.500, 0.500, 0.500), Te at (0.000, 0.000, 0.500) and I at (0.000, 0.500, 0.000).

For the energy above the most stable polymorph in this dataset, the calculation gives 0 meV per atom. The uncorrected formation energy comes out at 0.21 eV/atom.

---

[2]
DFT (GGA-PBE) results for a geometry-optimized CaNdYTm structure.

It has space group F-43m (No. 216), with a = 8.174 Å, b = 8.174 Å, c = 8.174 Å, α = 90.00°, β = 90.00° and γ = 90.00°. The asymmetric unit holds Ca at (0.000, 0.000, 0.000), Nd at (0.250, 0.250, 0.250), Y at (0.250, 0.250, 0.750) and Tm at (0.000, 0.000, 0.500).

As for the formation energy from the elements: 0.13 eV/atom.

---

[3]
DFT (GGA-PBE) results for a geometry-optimized HoBiPd6 structure.

It has space group P4/mmm (No. 123), with a = 4.114 Å, b = 4.114 Å, c = 8.292 Å, α = 90.00°, β = 90.00° and γ = 90.00°. The asymmetric unit holds Ho at (0.000, 0.000, 0.000), Bi at (0.000, 0.000, 0.500), Pd at (0.000, 0.500, 0.249), Pd at (0.500, 0.500, 0.000) and Pd at (0.500, 0.500, 0.500).

For the energy above the most stable polymorph in this dataset, the calculation gives 0 meV per atom. As for the formation energy from the elements: -0.57 eV/atom.

---

Values for density of states at the Fermi level, states/eV per cell, ordered as above
5.50 25.81 3.70
Values for electronic total energy, eV per atom, ordered as above
-3.26 -4.30 -5.53